Li2CaPuP2: relaxed, PBE.

Results
Space-group type: P-3m1, No. 164
E_form: -0.87 eV per atom

Structure (POSCAR):
```
Li2CaPuP2
1.0
-1.786 -3.803 0.195
0.971 1.678 -3.732
6.687 -3.122 0.335
Li P Pu Ca
2 2 1 1
direct
0.333 0.667 0.740 Li
0.667 0.333 0.260 Li
0.333 0.667 0.242 P
0.667 0.333 0.758 P
0.000 0.000 0.000 Pu
0.000 0.000 0.500 Ca
```

ZrNbZn2: relaxed, PBE.

Results
Space-group type: P4/mmm, No. 123
E_form: -0.09 eV per atom

Structure (POSCAR):
```
ZrNbZn2
1.0
-2.611 -0.176 2.256
2.258 -0.433 2.579
0.256 5.789 0.748
Nb Zn Zr
1 2 1
direct
0.500 0.500 0.000 Nb
0.000 0.000 0.764 Zn
0.000 0.000 0.236 Zn
0.500 0.500 0.500 Zr
```

Ti2NbTl: relaxed, PBE.

Results
Space-group type: I-42d, No. 122
Excess energy over the best structure of this formula in the dataset: 585 meV/atom
E_form: 0.55 eV per atom

Structure (POSCAR):
```
Ti2NbTl
1.0
-3.330 0.594 -2.195
1.635 -2.079 -3.044
-4.735 -9.118 1.011
Ti Tl Nb
4 2 2
direct
0.875 0.862 0.750 Ti
0.612 0.125 0.250 Ti
0.375 0.388 0.750 Ti
0.138 0.625 0.250 Ti
0.000 0.000 0.000 Tl
0.750 0.250 0.500 Tl
0.500 0.500 0.000 Nb
0.250 0.750 0.500 Nb
```

Ag2Br: relaxed, PBE.

Results
Space-group type: Cmcm, No. 63
Uncorrected formation energy: -0.0271 eV/atom
Excess energy over the best structure of this formula in the dataset: 132 meV/atom

Structure (POSCAR):
```
Ag2Br
1.0
1.823 -10.072 0.000
1.823 10.072 0.000
0.000 0.000 4.124
Ag Br
4 2
direct
0.262 0.738 0.250 Ag
0.362 0.638 0.750 Ag
0.638 0.362 0.250 Ag
0.738 0.262 0.750 Ag
0.092 0.908 0.750 Br
0.908 0.092 0.250 Br
```

TaHg2P: relaxed, PBE.

Results
Space-group type: P4/mmm, No. 123
E_form: 0.62 eV per atom

Structure (POSCAR):
```
TaHg2P
1.0
2.953 0.000 0.000
0.000 2.953 0.000
0.000 0.000 9.054
Ta Hg P
1 2 1
direct
0.500 0.500 0.500 Ta
0.000 0.000 0.257 Hg
0.000 0.000 0.743 Hg
0.500 0.500 0.000 P
```

SrZn3Pt2: relaxed, PBE.

Results
Space-group type: C2/m, No. 12
E_form: -0.59 eV per atom

Structure (POSCAR):
```
SrZn3Pt2
1.0
4.335 0.000 0.000
-2.168 7.673 -0.035
0.000 -3.485 7.267
Sr Zn Pt
2 6 4
direct
0.153 0.305 0.086 Sr
0.847 0.695 0.914 Sr
0.685 0.370 0.455 Zn
0.013 0.026 0.345 Zn
0.397 0.795 0.309 Zn
0.603 0.205 0.691 Zn
0.987 0.974 0.655 Zn
0.315 0.630 0.545 Zn
0.825 0.651 0.356 Pt
0.482 0.964 0.826 Pt
0.175 0.349 0.644 Pt
0.518 0.036 0.174 Pt
```

SrCdGa4: relaxed, PBE.

Results
Space-group type: F-43m, No. 216
Excess energy over the best structure of this formula in the dataset: 59 meV/atom
E_form: -0.18 eV per atom

Structure (POSCAR):
```
SrCdGa4
1.0
5.759 0.000 0.000
2.879 4.987 0.000
2.879 1.662 4.702
Ga Sr Cd
4 1 1
direct
0.625 0.625 0.625 Ga
0.124 0.625 0.625 Ga
0.625 0.124 0.625 Ga
0.625 0.625 0.124 Ga
0.250 0.250 0.250 Sr
0.000 0.000 0.000 Cd
```

LiAu2Br6: relaxed, PBE.

Results
Space-group type: C2/c, No. 15
Uncorrected formation energy: -0.4072 eV/atom

Structure (POSCAR):
```
LiAu2Br6
1.0
-4.334 5.385 1.649
-5.351 0.163 9.617
3.663 8.571 5.853
Br Li Au
12 2 4
direct
0.706 0.011 0.711 Br
0.797 0.966 0.299 Br
0.794 0.289 0.989 Br
0.703 0.701 0.034 Br
0.294 0.989 0.289 Br
0.024 0.635 0.657 Br
0.976 0.365 0.343 Br
0.476 0.343 0.365 Br
0.524 0.657 0.635 Br
0.297 0.299 0.966 Br
0.206 0.711 0.011 Br
0.203 0.034 0.701 Br
0.750 0.838 0.162 Li
0.250 0.162 0.838 Li
0.112 0.676 0.837 Au
0.888 0.324 0.163 Au
0.612 0.837 0.676 Au
0.388 0.163 0.324 Au
```

Summary of spin magnetization in μB per cell
6.003; 0.000; 0.000; 0.000; 0.000; 0.000; 0.000; 0.000
(order as listed above)
Summary of final energy in eV per atom
-6.03; -5.39; -6.51; -2.49; -3.85; -3.52; -2.63; -2.46
(order as listed above)